## CrBrNO2 (GGA+U)

Data for CrBrNO2 after structural relaxation.

Spin magnetization in μB per formula unit: 3.94
E_tot in eV per cell: -22.43

a b c (Å): 3.838 3.838 4.232
angles (deg): 90.00 90.00 90.00
Site moments in Bohr magnetons follow the coordinates.
Fractional coordinates of all 5 atoms:
Cr1 0.500 0.500 0.500  3.95
O1 0.000 0.500 0.000  0.00
O2 0.500 0.000 0.000  0.00
N1 0.000 0.000 0.500  -0.21
Br1 0.000 0.000 0.000  0.04